Here is Ho3Tl2Cd2 after structural relaxation from Alexandria. Energies are from PBE-GGA.

## Properties
- crystal system = orthorhombic
- energy of formation from the pure elements (eV per atom) = -0.274
- E_tot (eV/atom) = -3.173

Cell lengths 4.757, 22.384, 3.391 Å; angles 90.00, 90.00, 90.00 degrees
Space group Cmmm (No. 65)
Inequivalent atoms, fractional coordinates:
Ho 0.000 0.000 0.000 [2 per cell]
Ho 0.000 0.155 0.000 [4 per cell]
Tl 0.000 0.422 0.500 [4 per cell]
Cd 0.000 0.284 0.500 [4 per cell]

---

Here is Ho3Tl2Cd after structural relaxation from Alexandria. Energies are from PBE-GGA.

## Properties
- energy above the lowest structure with this stoichiometry (eV/atom) = 0.0025
- crystal system = tetragonal
- energy of formation from the pure elements (eV per atom) = -0.328
- E_tot (eV/atom) = -3.558

Cell lengths 3.728, 3.728, 11.509 Å; angles 90.00, 90.00, 90.00 degrees
Space group P4/mmm (No. 123)
Inequivalent atoms, fractional coordinates:
Ho 0.000 0.000 0.000 [1 per cell]
Ho 0.000 0.000 0.342 [2 per cell]
Tl 0.500 0.500 0.173 [2 per cell]
Cd 0.500 0.500 0.500 [1 per cell]

---

Here is Ho6TlCd3 after structural relaxation from Alexandria. Energies are from PBE-GGA.

## Properties
- crystal system = monoclinic
- energy of formation from the pure elements (eV per atom) = -0.223
- E_tot (eV/atom) = -3.481

Cell lengths 9.329, 5.265, 11.574 Å; angles 90.00, 106.92, 90.00 degrees
Space group P2_1/m (No. 11)
Inequivalent atoms, fractional coordinates:
Ho 0.039 0.250 0.410 [2 per cell]
Ho 0.152 0.750 0.177 [2 per cell]
Ho 0.248 0.250 0.000 [2 per cell]
Ho 0.334 0.750 0.805 [2 per cell]
Ho 0.369 0.250 0.332 [2 per cell]
Ho 0.395 0.250 0.617 [2 per cell]
Tl 0.452 0.750 0.107 [2 per cell]
Cd 0.027 0.750 0.878 [2 per cell]
Cd 0.116 0.250 0.714 [2 per cell]
Cd 0.274 0.750 0.472 [2 per cell]

---

Here is Ho4Tl2Cd3 after structural relaxation from Alexandria. Energies are from PBE-GGA.

## Properties
- crystal system = trigonal
- energy of formation from the pure elements (eV per atom) = -0.266
- E_tot (eV/atom) = -3.131

Cell lengths 5.1664, 5.1664, 10.2247 Å; angles 90.00, 90.00, 120.00 degrees
Space group P-3m1 (No. 164)
Inequivalent atoms, fractional coordinates:
Ho 0.0000 0.0000 0.1708 [2 per cell]
Ho 0.3333 0.6667 0.6184 [2 per cell]
Tl 0.3333 0.6667 0.2947 [2 per cell]
Cd 0.0000 0.0000 0.5000 [1 per cell]
Cd 0.3333 0.6667 0.9685 [2 per cell]

---

Here is Ho4Tl2Cd after structural relaxation from Alexandria. Energies are from PBE-GGA.

## Properties
- energy above the lowest structure with this stoichiometry (eV/atom) = 0.0785
- crystal system = monoclinic
- energy of formation from the pure elements (eV per atom) = -0.126
- E_tot (eV/atom) = -3.549

Cell lengths 7.242, 6.663, 9.027 Å; angles 90.00, 111.11, 90.00 degrees
Space group P2_1/m (No. 11)
Inequivalent atoms, fractional coordinates:
Ho 0.074 0.250 0.047 [2 per cell]
Ho 0.165 0.007 0.725 [4 per cell]
Ho 0.312 0.750 0.345 [2 per cell]
Tl 0.214 0.250 0.440 [2 per cell]
Tl 0.430 0.750 0.044 [2 per cell]
Cd 0.498 0.250 0.285 [2 per cell]

---

Here is HoTlCd3 after structural relaxation from Alexandria. Energies are from PBE-GGA.

## Properties
- crystal system = orthorhombic
- energy of formation from the pure elements (eV per atom) = -0.080
- E_tot (eV/atom) = -2.018

Cell lengths 4.872, 32.173, 3.330 Å; angles 90.00, 90.00, 90.00 degrees
Space group Cmmm (No. 65)
Inequivalent atoms, fractional coordinates:
Ho 0.000 0.178 0.000 [4 per cell]
Tl 0.000 0.364 0.500 [4 per cell]
Cd 0.000 0.076 0.500 [4 per cell]
Cd 0.000 0.271 0.500 [4 per cell]
Cd 0.000 0.455 0.000 [4 per cell]

---

Here is Ho3Tl4Cd after structural relaxation from Alexandria. Energies are from PBE-GGA.

## Properties
- crystal system = orthorhombic
- energy of formation from the pure elements (eV per atom) = -0.157
- E_tot (eV/atom) = -3.172

Cell lengths 3.476, 9.815, 13.057 Å; angles 90.00, 90.00, 90.00 degrees
Space group Immm (No. 71)
Inequivalent atoms, fractional coordinates:
Ho 0.000 0.000 0.000 [2 per cell]
Ho 0.000 0.500 0.219 [4 per cell]
Tl 0.000 0.259 0.373 [8 per cell]
Cd 0.000 0.000 0.500 [2 per cell]

---

Here is Ho6TlCd2 after structural relaxation from Alexandria. Energies are from PBE-GGA.

## Properties
- crystal system = orthorhombic
- energy of formation from the pure elements (eV per atom) = -0.158
- E_tot (eV/atom) = -3.676

Cell lengths 9.931, 10.191, 10.266 Å; angles 90.00, 90.00, 90.00 degrees
Space group Immm (No. 71)
Inequivalent atoms, fractional coordinates:
Ho 0.000 0.178 0.226 [8 per cell]
Ho 0.180 0.500 0.234 [8 per cell]
Ho 0.201 0.249 0.500 [8 per cell]
Tl 0.000 0.000 0.500 [2 per cell]
Tl 0.000 0.500 0.500 [2 per cell]
Cd 0.000 0.364 0.000 [4 per cell]
Cd 0.142 0.000 0.000 [4 per cell]